# Pr2DyBr2N2 PBE relaxed
data_Pr2DyBr2N2
_chemical_formula_sum 'Pr4 Dy2 Br4 N4'
_space_group_name_H-M_alt 'I 4/m m m'
_space_group_IT_number 139
_space_group_name_Hall '-I 4 2'
_cell_length_a 4.508
_cell_length_b 4.508
_cell_length_c 16.714
_cell_angle_alpha 90.00
_cell_angle_beta 90.00
_cell_angle_gamma 90.00
loop_
_atom_site_label
_atom_site_fract_x
_atom_site_fract_y
_atom_site_fract_z
Pr1 0.000 0.000 0.090
Dy1 0.000 0.000 0.500
Br1 0.000 0.000 0.324
N1 0.000 0.500 0.000
# E: -6.247 eV/atom
# Size of the total moment: 1.9 μB per cell
# Raw formation energy: -1.367 eV per atom